{"formula": "Nd4HoTl2", "functional": "PBE", "state": "optimized geometry", "lattice": [[-1.739, 4.173, 3.324], [0.465, -0.472, 5.572], [7.777, 4.946, 2.596]], "species": ["Nd", "Nd", "Nd", "Nd", "Tl", "Tl", "Ho"], "frac_coords": [[0.268, 0.268, 0.196], [0.869, 0.869, 0.392], [0.732, 0.732, 0.804], [0.131, 0.131, 0.608], [0.614, 0.614, 0.159], [0.386, 0.386, 0.841], [0.500, 0.500, 0.500]], "crystal_system": "trigonal", "sg": "R-3m (166)", "polymorph_energy_mev_per_atom": 0}

=====

{"formula": "Nd5Ho12Tl2", "functional": "PBE", "state": "optimized geometry", "lattice": [[-4.969, -5.412, 5.816], [3.266, -5.773, -10.129], [4.464, 2.855, 6.470]], "species": ["Ho", "Ho", "Ho", "Ho", "Ho", "Ho", "Ho", "Ho", "Ho", "Ho", "Ho", "Ho", "Tl", "Tl", "Nd", "Nd", "Nd", "Nd", "Nd"], "frac_coords": [[0.037, 0.708, 0.945], [0.080, 0.160, 0.279], [0.567, 0.748, 0.411], [0.181, 0.748, 0.411], [0.447, 0.895, 0.217], [0.671, 0.708, 0.945], [0.553, 0.105, 0.783], [0.433, 0.252, 0.589], [0.963, 0.292, 0.055], [0.329, 0.292, 0.055], [0.920, 0.840, 0.721], [0.819, 0.252, 0.589], [0.686, 0.000, 0.000], [0.314, 0.000, 0.000], [0.308, 0.615, 0.622], [0.000, 0.000, 0.500], [0.234, 0.469, 0.889], [0.766, 0.531, 0.111], [0.692, 0.385, 0.378]], "crystal_system": "monoclinic", "sg": "C2/m (12)"}

=====

{"formula": "NdHo6Tl", "functional": "PBE", "state": "optimized geometry", "lattice": [[6.473, -0.791, -1.323], [-3.143, 5.714, -1.323], [-1.842, -2.722, 8.669]], "species": ["Nd", "Ho", "Ho", "Ho", "Ho", "Ho", "Ho", "Tl"], "frac_coords": [[0.500, 0.500, 0.500], [0.802, 0.802, 0.246], [0.776, 0.339, 0.754], [0.661, 0.224, 0.246], [0.198, 0.198, 0.754], [0.339, 0.776, 0.754], [0.224, 0.661, 0.246], [0.000, 0.000, 0.000]], "crystal_system": "monoclinic", "sg": "C2/m (12)", "polymorph_energy_mev_per_atom": 138}

=====

{"formula": "Nd4HoTl2", "functional": "PBE", "state": "optimized geometry", "lattice": [[-0.588, -2.350, -5.840], [5.219, 0.527, -3.584], [1.848, -3.551, 7.582]], "species": ["Nd", "Nd", "Nd", "Nd", "Ho", "Tl", "Tl"], "frac_coords": [[0.500, 0.000, 0.000], [0.296, 0.793, 0.500], [0.704, 0.207, 0.500], [0.000, 0.500, 0.000], [0.000, 0.000, 0.000], [0.309, 0.423, 0.733], [0.691, 0.577, 0.267]], "crystal_system": "triclinic", "sg": "P-1 (2)", "polymorph_energy_mev_per_atom": 53}

=====

{"formula": "Nd4Ho3Tl2", "functional": "PBE", "state": "optimized geometry", "lattice": [[-4.578, -3.228, 3.383], [4.353, -8.340, -0.947], [4.046, 1.832, 8.346]], "species": ["Nd", "Nd", "Nd", "Nd", "Nd", "Nd", "Nd", "Nd", "Tl", "Tl", "Tl", "Tl", "Ho", "Ho", "Ho", "Ho", "Ho", "Ho"], "frac_coords": [[0.086, 0.683, 0.105], [0.914, 0.317, 0.895], [0.093, 0.179, 0.528], [0.593, 0.528, 0.179], [0.414, 0.895, 0.317], [0.407, 0.472, 0.821], [0.586, 0.105, 0.683], [0.907, 0.821, 0.472], [0.048, 0.363, 0.228], [0.452, 0.772, 0.637], [0.952, 0.637, 0.772], [0.548, 0.228, 0.363], [0.104, 0.951, 0.826], [0.896, 0.049, 0.174], [0.396, 0.174, 0.049], [0.750, 0.468, 0.532], [0.604, 0.826, 0.951], [0.250, 0.532, 0.468]], "crystal_system": "monoclinic", "sg": "C2/c (15)"}

=====

{"formula": "NdHo4Tl5", "functional": "PBE", "state": "optimized geometry", "lattice": [[-2.023, 1.653, 2.714], [-1.240, -3.372, 1.130], [15.092, -1.476, 12.151]], "species": ["Tl", "Tl", "Tl", "Tl", "Tl", "Ho", "Ho", "Ho", "Ho", "Nd"], "frac_coords": [[0.500, 0.500, 0.696], [0.500, 0.500, 0.304], [0.500, 0.500, 0.892], [0.500, 0.500, 0.108], [0.500, 0.500, 0.500], [0.000, 0.000, 0.402], [0.000, 0.000, 0.794], [0.000, 0.000, 0.598], [0.000, 0.000, 0.206], [0.000, 0.000, 0.000]], "crystal_system": "tetragonal", "sg": "P4/mmm (123)"}

=====

Formation enthalpy at 0 K values (in eV/f.u.) by entry order: 0.16; 0.29; 0.99; 0.53; -0.80; -3.41.